[1]
Er7Sn4C | PBE | optimized geometry

Cell lengths 8.333, 8.333, 11.110 Å; angles 126.44, 126.44, 34.73 degrees
Fractional coordinates of all 12 atoms:
Er 0.000 0.000 0.000
Er 0.136 0.136 0.547
Er 0.275 0.275 0.138
Er 0.438 0.438 0.753
Er 0.562 0.562 0.247
Er 0.725 0.725 0.862
Er 0.864 0.864 0.453
Sn 0.084 0.084 0.782
Sn 0.222 0.222 0.352
Sn 0.778 0.778 0.648
Sn 0.916 0.916 0.218
C 0.500 0.500 0.000

Summary:
SG	C2/m (12)
calculated formation energy	-361	meV per atom
total magnetic moment	0.012	μB per cell
final energy	-61.50	eV/cell

[2]
TcOsICl2 | PBE | optimized geometry

Cell lengths 4.622, 4.622, 5.564 Å; angles 90.00, 90.00, 90.00 degrees
Fractional coordinates of all 5 atoms:
Tc 0.000 0.000 0.000
Os 0.000 0.000 0.500
I 0.500 0.500 0.000
Cl 0.000 0.500 0.500
Cl 0.500 0.000 0.500

Summary:
formation energy from raw total energies	4.1	eV/f.u.
SG	P4/mmm (123)
total magnetic moment	3.504	μB per cell
final energy	-22.72	eV/cell

[3]
LiHf8N8O4 | PBE | optimized geometry

Cell lengths 5.413, 5.446, 10.411 Å; angles 76.38, 87.08, 62.13 degrees
Fractional coordinates of all 21 atoms:
Li 0.000 0.000 0.000
Hf 0.269 0.419 0.037
Hf 0.292 0.326 0.341
Hf 0.342 0.105 0.776
Hf 0.570 0.775 0.096
Hf 0.615 0.600 0.513
Hf 0.668 0.448 0.811
Hf 0.932 0.016 0.281
Hf 0.961 0.916 0.589
N 0.223 0.716 0.177
N 0.238 0.957 0.428
N 0.377 0.733 0.924
N 0.537 0.089 0.199
N 0.593 0.115 0.933
N 0.633 0.826 0.668
N 0.651 0.259 0.432
N 0.947 0.217 0.676
O 0.019 0.354 0.917
O 0.334 0.513 0.669
O 0.932 0.403 0.174
O 0.944 0.646 0.423

Summary:
formation energy from raw total energies	-42.8	eV/f.u.
SG	P1 (1)
total magnetic moment	0.000	μB per cell
final energy	-210.80	eV/cell

[4]
Zn2CuPt | PBE | optimized geometry

Cell lengths 4.296, 4.296, 4.296 Å; angles 60.00, 60.00, 60.00 degrees
Fractional coordinates of all 4 atoms:
Zn 0.250 0.250 0.250
Zn 0.750 0.750 0.750
Cu 0.000 0.000 0.000
Pt 0.500 0.500 0.500

Summary:
SG	Fm-3m (225)
calculated formation energy	-343	meV per atom
total magnetic moment	0.000	μB per cell
final energy	-14.06	eV/cell